1.
## CsInHg (PBE-GGA)

Data for a relaxed CsInHg crystal.

## Properties
As for the space group: P-6m2. As for the energy above the most stable polymorph in this dataset: 45.2 meV per atom. For the density, the calculation gives 5.69 Mg/m³. For the formation enthalpy at 0 K, the calculation gives -0.11 eV per atom. The value obtained for the volume is 131 Å³/f.u.

Cell lengths 5.1973, 5.1973, 5.5939 Å; angles 90.00, 90.00, 120.00 degrees
Fractional positions:
Cs1 0.0000 0.0000 0.0000
In1 0.3333 0.6667 0.5000
Hg1 0.6667 0.3333 0.5000


2.
## LaSc2Ni (PBE-GGA)

Data for a relaxed LaSc2Ni crystal.

## Properties
As for the space group: P2/m. As for the energy above the most stable polymorph in this dataset: 215.0 meV per atom. For the density, the calculation gives 5.08 Mg/m³. For the formation enthalpy at 0 K, the calculation gives 0.01 eV per atom. The value obtained for the volume is 94 Å³/f.u.

Cell lengths 3.6361, 4.4200, 6.1036 Å; angles 90.00, 106.76, 90.00 degrees
Fractional positions:
La1 0.0000 0.0000 0.0000
Sc1 0.3652 0.5000 0.7057
Sc2 0.6348 0.5000 0.2943
Ni1 0.0000 0.0000 0.5000


no.,density of states at the Fermi level (states/eV per cell)
1,1.96
2,4.97